Entry 1:
Entry from Alexandria via LeMat-Bulk: Rb3AsPb after structural relaxation (GGA-PBEsol). Values from VASP.

Quantum ESPRESSO input file:
```
&SYSTEM
  ibrav = 0, nat = 5, ntyp = 3
/
ATOMIC_SPECIES
Pb 207.20 Pb.upf
Rb 85.47 Rb.upf
As 74.92 As.upf
CELL_PARAMETERS angstrom
-5.994 1.552 2.030
-2.383 -5.264 -3.013
0.922 -3.514 5.410
ATOMIC_POSITIONS angstrom
Pb -3.728 -3.613 2.213
Rb -1.191 -2.632 -1.506
Rb 0.461 -1.757 2.705
Rb -2.997 0.776 1.015
As 0.000 0.000 0.000
```

Computed properties:
* symmetry: Pm-3m, No. 221
* ΔE_f: 0.21 eV per atom
* total magnetic moment: 3.661 μB per cell
* DOS(E_F): 4.82 states/eV/f.u.

=====

Entry 2:
Entry from Alexandria via LeMat-Bulk: RbAs3Pb after structural relaxation (GGA-PBEsol). Values from VASP.

Quantum ESPRESSO input file:
```
&SYSTEM
  ibrav = 0, nat = 5, ntyp = 3
/
ATOMIC_SPECIES
As 74.92 As.upf
Rb 85.47 Rb.upf
Pb 207.20 Pb.upf
CELL_PARAMETERS angstrom
5.407 0.000 0.000
0.000 5.407 0.000
0.000 0.000 5.407
ATOMIC_POSITIONS angstrom
As 0.000 2.704 0.000
As 0.000 0.000 2.704
As 2.704 0.000 0.000
Rb 0.000 0.000 0.000
Pb 2.704 2.704 2.704
```

Computed properties:
* symmetry: Pm-3m, No. 221
* ΔE_f: 1.45 eV per atom
* total magnetic moment: 0.000 μB per cell
* DOS(E_F): 3.61 states/eV/f.u.

=====

Entry 3:
Entry from Alexandria via LeMat-Bulk: RbAs2Pb2 after structural relaxation (GGA-PBEsol). Values from VASP.

Quantum ESPRESSO input file:
```
&SYSTEM
  ibrav = 0, nat = 5, ntyp = 3
/
ATOMIC_SPECIES
Pb 207.20 Pb.upf
Rb 85.47 Rb.upf
As 74.92 As.upf
CELL_PARAMETERS angstrom
5.289 0.000 0.000
0.000 5.289 0.000
-2.644 -2.644 5.610
ATOMIC_POSITIONS angstrom
Pb 0.000 0.000 3.966
Pb 2.644 2.644 1.645
Rb 0.000 0.000 0.000
As 0.000 2.644 2.805
As 2.644 0.000 2.805
```

Computed properties:
* symmetry: I4/mmm, No. 139
* ΔE_f: -0.08 eV per atom
* total magnetic moment: 0.001 μB per cell
* DOS(E_F): 3.49 states/eV/f.u.